Entry from the Alexandria database: a relaxed KBaSb2 crystal (PBE-GGA).

a b c (Å): 3.3836 6.3353 7.0896
angles (deg): 90.00 90.00 90.00
Closest atoms and distances in Å follow each position.
Fractional positions:
K  0.0000  0.0000  0.0000  2 K 3.38, 6 Sb 3.54-3.59
Ba  0.5000  0.5000  0.5000  2 Ba 3.38, 6 Sb 3.54-3.59
Sb  0.0000  0.0000  0.5000  2 Sb 3.38, 2 K 3.54, 4 Ba 3.59
Sb  0.5000  0.5000  0.0000  2 Sb 3.38, 2 Ba 3.54, 4 K 3.59

Space-group type: No. 47
D(E_F), states/eV/cell: 3.154
Mass density, g cm⁻³: 4.6
ΔE_f (raw), eV per atom: -0.37
Excess energy over the best structure of this formula in the dataset, meV/atom: 282.1